No. 1
11
Lattice="5.8215 0.1301 0.0909 1.1996 8.7712 0.6658 1.1996 3.6437 8.0063" Properties=species:S:1:pos:R:3 comment="La8DyIn2 | Alexandria via LeMat-Bulk | GGA-PBE | relaxed" formation_energy_kj_per_mol_atoms=2.7 polymorph_energy_ev_per_fu=1.838 spacegroup="No. 12" pbc="T T T"
La 2.3687 3.3569 4.3137
La 2.3687 5.2055 1.6673
La 5.8520 7.3395 7.0956
La 5.8520 9.1881 4.4492
La 5.5007 5.6535 3.9491
La 2.7200 6.8914 4.8138
La 2.5990 1.4736 1.0294
La 5.6217 11.0713 7.7336
In 2.7642 9.5120 6.6443
In 5.4565 3.0330 2.1186
Dy 0.0000 0.0000 0.0000

---

No. 2
12
Lattice="5.5871 -0.0327 1.8701 0.0441 8.3880 0.0147 0.0083 -0.0164 9.3314" Properties=species:S:1:pos:R:3 comment="Ba5AcHg6 | Alexandria via LeMat-Bulk | GGA-PBE | relaxed" formation_energy_kj_per_mol_atoms=-49.9 spacegroup="No. 10" pbc="T T T"
Hg 4.7006 2.0186 4.5838
Hg 0.9390 6.3203 6.6324
Hg 4.7231 6.3040 4.5913
Hg 2.8039 1.9512 0.9385
Hg 0.9164 2.0349 6.6249
Hg 2.8273 6.4041 0.9463
Ba 1.8571 -0.0164 3.7619
Ba 3.7382 -0.0327 7.4396
Ba 3.7558 4.1613 7.4597
Ba 0.0221 4.1940 0.0074
Ba 1.8837 4.1776 3.7565
Ac 0.0000 0.0000 0.0000

---

Number 1: uncorrected energy -49.19 eV per cell, M_tot 0.0 μB/f.u.. Number 2: uncorrected energy -21.74 eV per cell, M_tot 0.0 μB/f.u..